First-principles (PBE) data for an optimized crystal structure of ErZrSc, as listed in the Alexandria database.

```
ErZrSc
1.0
-0.437 1.223 -3.014
-5.076 0.568 0.966
3.301 3.865 1.089
Sc Er Zr
1 1 1
direct
0.166 0.000 0.000
0.667 0.667 0.333
0.167 0.333 0.667
```

Calculated values
Energy above the lowest structure with this stoichiometry ... 38 meV per atom
Formation energy ... 1.8 kcal/mol of atoms
Space group ... No. 187

First-principles (PBE) data for an optimized crystal structure of ErZr3Sc6, as listed in the Alexandria database.

```
ErZr3Sc6
1.0
5.880 0.000 0.000
0.000 9.670 -1.307
0.000 -3.431 9.134
Zr Sc Er
6 12 2
direct
0.472 0.304 0.077
0.972 0.077 0.304
0.472 0.923 0.696
0.557 0.614 0.386
0.057 0.386 0.614
0.972 0.696 0.923
0.052 0.709 0.623
0.376 0.523 0.940
0.836 0.034 0.966
0.052 0.377 0.291
0.155 0.747 0.253
0.336 0.966 0.034
0.876 0.940 0.523
0.376 0.060 0.477
0.876 0.477 0.060
0.552 0.623 0.709
0.552 0.291 0.377
0.655 0.253 0.747
0.137 0.187 0.813
0.637 0.813 0.187
```

Calculated values
Energy above the lowest structure with this stoichiometry ... 57 meV per atom
Formation energy ... 3.7 kcal/mol of atoms
Space group ... No. 36

First-principles (PBE) data for an optimized crystal structure of ErZrSc, as listed in the Alexandria database.

```
ErZrSc
1.0
-0.383 0.234 3.313
-0.541 -2.752 1.819
7.576 -1.745 2.687
Zr Er Sc
1 1 1
direct
0.548 0.548 0.357
0.327 0.327 0.020
0.111 0.111 0.666
```

Calculated values
Energy above the lowest structure with this stoichiometry ... 0 meV per atom
Formation energy ... 0.9 kcal/mol of atoms
Space group ... No. 160

First-principles (PBE) data for an optimized crystal structure of Er6ZrSc, as listed in the Alexandria database.

```
Er6ZrSc
1.0
-2.772 -4.209 3.773
-3.715 -4.435 -2.443
4.081 -7.764 -0.344
Er Sc Zr
6 1 1
direct
0.298 0.933 0.205
0.064 0.441 0.795
0.702 0.067 0.795
0.561 0.294 0.207
0.439 0.706 0.793
0.936 0.559 0.205
0.500 0.500 0.500
0.000 0.000 0.000
```

Calculated values
Energy above the lowest structure with this stoichiometry ... 463 meV per atom
Formation energy ... 15.8 kcal/mol of atoms
Space group ... No. 2

First-principles (PBE) data for an optimized crystal structure of ErZr4Sc2, as listed in the Alexandria database.

```
ErZr4Sc2
1.0
-1.982 0.793 -2.358
1.069 -4.617 -2.452
-8.659 -1.555 6.756
Sc Er Zr
2 1 4
direct
0.000 0.500 0.500
0.500 0.000 0.500
0.998 0.000 0.000
0.001 0.351 0.783
0.001 0.649 0.217
0.500 0.824 0.737
0.500 0.176 0.263
```

Calculated values
Formation energy ... 5.2 kcal/mol of atoms
Space group ... No. 3

First-principles (PBE) data for an optimized crystal structure of ErZrSc, as listed in the Alexandria database.

```
ErZrSc
1.0
-0.418 1.613 -2.857
2.548 -1.656 -1.307
-5.483 -5.034 -0.126
Zr Er Sc
1 1 1
direct
0.329 0.329 0.658
0.994 0.994 0.988
0.677 0.677 0.354
```

Calculated values
Energy above the lowest structure with this stoichiometry ... 11 meV per atom
Formation energy ... 1.2 kcal/mol of atoms
Space group ... No. 107

First-principles (PBE) data for an optimized crystal structure of Er2ZrSc2, as listed in the Alexandria database.

```
Er2ZrSc2
1.0
5.708 -0.235 -1.351
-2.604 5.084 -1.351
0.288 0.450 9.207
Er Sc Zr
4 4 2
direct
0.733 0.733 0.141
0.205 0.205 0.445
0.795 0.795 0.555
0.267 0.267 0.859
0.255 0.663 0.305
0.337 0.745 0.695
0.663 0.255 0.305
0.745 0.337 0.695
0.201 0.799 0.000
0.799 0.201 0.000
```

Calculated values
Energy above the lowest structure with this stoichiometry ... 32 meV per atom
Formation energy ... 4.6 kcal/mol of atoms
Space group ... No. 12

First-principles (PBE) data for an optimized crystal structure of Er3Zr2Sc2, as listed in the Alexandria database.

```
Er3Zr2Sc2
1.0
7.430 0.000 -2.627
-3.715 6.435 -2.627
0.000 0.000 7.881
Sc Er Zr
4 6 4
direct
0.500 0.403 0.500
0.000 0.000 0.403
0.903 0.500 0.000
0.597 0.097 0.097
0.077 0.327 0.250
0.750 0.577 0.327
0.423 0.173 0.750
0.827 0.250 0.577
0.250 0.923 0.173
0.673 0.750 0.923
0.196 0.696 0.696
0.304 0.500 0.000
0.000 0.000 0.804
0.500 0.804 0.500
```

Calculated values
Formation energy ... 7.2 kcal/mol of atoms
Space group ... No. 199

First-principles (PBE) data for an optimized crystal structure of Er2ZrSc5, as listed in the Alexandria database.

```
Er2ZrSc5
1.0
6.444 -0.486 -1.914
-3.700 5.300 -1.910
0.102 0.172 6.215
Zr Er Sc
1 2 5
direct
0.817 0.738 0.000
0.738 0.323 0.505
0.233 0.818 0.495
0.323 0.731 0.000
0.316 0.240 0.000
0.236 0.320 0.500
0.824 0.233 0.000
0.736 0.820 0.500
```

Calculated values
Energy above the lowest structure with this stoichiometry ... 0 meV per atom
Formation energy ... 0.5 kcal/mol of atoms
Space group ... No. 42

First-principles (PBE) data for an optimized crystal structure of Er5Zr2Sc4, as listed in the Alexandria database.

```
Er5Zr2Sc4
1.0
3.322 0.000 0.000
0.000 8.548 0.000
-1.661 -4.274 10.759
Zr Er Sc
2 5 4
direct
0.272 0.272 0.544
0.728 0.728 0.456
0.152 0.944 0.304
0.848 0.640 0.696
0.500 0.000 0.000
0.152 0.360 0.304
0.848 0.056 0.696
0.000 0.684 0.000
0.596 0.596 0.192
0.404 0.404 0.808
0.000 0.316 0.000
```

Calculated values
Formation energy ... 4.9 kcal/mol of atoms
Space group ... No. 71

First-principles (PBE) data for an optimized crystal structure of ErZrSc14, as listed in the Alexandria database.

```
ErZrSc14
1.0
6.596 -0.849 0.000
-2.557 6.139 0.000
0.000 0.000 10.316
Sc Zr Er
14 1 1
direct
0.165 0.835 0.255
0.669 0.837 0.251
0.832 0.667 0.000
0.669 0.837 0.749
0.333 0.667 0.500
0.165 0.835 0.745
0.668 0.332 0.246
0.833 0.167 0.500
0.668 0.332 0.754
0.333 0.168 0.000
0.334 0.167 0.500
0.163 0.331 0.251
0.833 0.666 0.500
0.163 0.331 0.749
0.836 0.164 0.000
0.334 0.666 0.000
```

Calculated values
Formation energy ... 0.1 kcal/mol of atoms
Space group ... No. 38

First-principles (PBE) data for an optimized crystal structure of ErZr2Sc8, as listed in the Alexandria database.

```
ErZr2Sc8
1.0
5.136 1.723 0.000
2.706 7.965 0.000
1.353 3.982 7.561
Sc Zr Er
8 2 1
direct
0.803 0.098 0.254
0.197 0.648 0.254
0.197 0.902 0.746
0.500 0.208 0.584
0.500 0.792 0.416
0.720 0.549 0.000
0.280 0.451 0.000
0.803 0.352 0.746
0.000 0.691 0.617
0.000 0.309 0.383
0.500 0.000 0.000
```

Calculated values
Energy above the lowest structure with this stoichiometry ... 115 meV per atom
Formation energy ... 3.4 kcal/mol of atoms
Space group ... No. 12

First-principles (PBE) data for an optimized crystal structure of ErZr5Sc12, as listed in the Alexandria database.

```
ErZr5Sc12
1.0
-5.037 -2.242 1.206
4.553 -3.317 -0.358
2.907 3.956 15.113
Sc Zr Er
12 5 1
direct
0.284 0.944 0.833
0.396 0.396 0.167
0.056 0.716 0.167
0.944 0.284 0.833
0.887 0.553 0.661
0.553 0.887 0.661
0.113 0.447 0.339
0.716 0.056 0.167
0.447 0.113 0.339
0.780 0.780 0.339
0.220 0.220 0.661
0.604 0.604 0.833
0.333 0.667 0.000
0.667 0.333 0.000
0.834 0.166 0.500
0.500 0.500 0.500
0.166 0.834 0.500
0.000 0.000 0.000
```

Calculated values
Formation energy ... 0.4 kcal/mol of atoms
Space group ... No. 12

First-principles (PBE) data for an optimized crystal structure of Er2ZrSc5, as listed in the Alexandria database.

```
Er2ZrSc5
1.0
-1.930 0.243 4.234
0.851 -6.523 0.763
11.944 2.180 5.318
Sc Er Zr
10 4 2
direct
0.000 0.500 0.500
0.000 0.001 0.746
0.000 0.999 0.254
0.500 0.743 0.121
0.500 0.243 0.379
0.000 0.501 0.754
0.500 0.257 0.879
0.000 0.000 0.000
0.000 0.499 0.246
0.500 0.757 0.621
0.500 0.747 0.877
0.500 0.247 0.623
0.500 0.753 0.377
0.500 0.253 0.123
0.000 0.500 0.000
0.000 0.000 0.500
```

Calculated values
Energy above the lowest structure with this stoichiometry ... 28 meV per atom
Formation energy ... 1.1 kcal/mol of atoms
Space group ... No. 55

First-principles (PBE) data for an optimized crystal structure of Er8ZrSc4, as listed in the Alexandria database.

```
Er8ZrSc4
1.0
-5.243 -3.301 -2.177
7.117 0.735 -4.184
3.823 -6.422 3.883
Sc Er Zr
4 8 1
direct
0.000 0.500 0.000
0.000 0.000 0.000
0.500 0.500 0.000
0.500 0.000 0.000
0.136 0.818 0.288
0.565 0.271 0.278
0.435 0.729 0.722
0.864 0.182 0.712
0.987 0.807 0.688
0.554 0.690 0.338
0.013 0.193 0.312
0.446 0.310 0.662
0.000 0.500 0.500
```

Calculated values
Formation energy ... 5.9 kcal/mol of atoms
Space group ... No. 2

First-principles (PBE) data for an optimized crystal structure of ErZr2Sc8, as listed in the Alexandria database.

```
ErZr2Sc8
1.0
4.409 0.000 -1.267
-0.700 6.859 -2.435
0.093 0.748 8.625
Sc Zr Er
8 2 1
direct
0.952 0.276 0.904
0.048 0.724 0.096
0.596 0.462 0.193
0.684 0.907 0.368
0.404 0.538 0.807
0.142 0.193 0.283
0.858 0.807 0.717
0.316 0.093 0.632
0.228 0.630 0.457
0.772 0.370 0.543
0.500 0.000 0.000
```

Calculated values
Energy above the lowest structure with this stoichiometry ... 0 meV per atom
Formation energy ... 0.8 kcal/mol of atoms
Space group ... No. 12

First-principles (PBE) data for an optimized crystal structure of ErZr3Sc3, as listed in the Alexandria database.

```
ErZr3Sc3
1.0
5.214 0.000 0.000
0.000 8.750 0.000
0.000 -4.375 7.577
Sc Zr Er
6 6 2
direct
0.250 0.088 0.460
0.750 0.912 0.540
0.250 0.540 0.627
0.750 0.627 0.088
0.250 0.373 0.912
0.750 0.460 0.373
0.250 0.959 0.772
0.750 0.772 0.813
0.750 0.187 0.959
0.250 0.228 0.187
0.250 0.813 0.041
0.750 0.041 0.228
0.750 0.333 0.667
0.250 0.667 0.333
```

Calculated values
Energy above the lowest structure with this stoichiometry ... 0 meV per atom
Formation energy ... -0.1 kcal/mol of atoms
Space group ... No. 176

First-principles (PBE) data for an optimized crystal structure of Er2ZrSc4, as listed in the Alexandria database.

```
Er2ZrSc4
1.0
-0.329 -2.489 -2.236
3.001 1.432 0.492
1.847 -12.509 13.653
Sc Er Zr
4 2 1
direct
0.902 0.804 0.944
0.522 0.043 0.805
0.432 0.865 0.536
0.001 0.002 0.238
0.716 0.432 0.385
0.618 0.237 0.091
0.810 0.620 0.670
```

Calculated values
Energy above the lowest structure with this stoichiometry ... 0 meV per atom
Formation energy ... 0.6 kcal/mol of atoms
Space group ... No. 8

First-principles (PBE) data for an optimized crystal structure of Er4ZrSc, as listed in the Alexandria database.

```
Er4ZrSc
1.0
4.943 0.000 1.453
2.316 4.429 1.256
-0.023 0.395 9.210
Er Sc Zr
4 1 1
direct
0.874 0.874 0.378
0.380 0.380 0.860
0.126 0.126 0.622
0.620 0.620 0.140
0.000 0.000 0.000
0.500 0.500 0.500
```

Calculated values
Energy above the lowest structure with this stoichiometry ... 577 meV per atom
Formation energy ... 16.9 kcal/mol of atoms
Space group ... No. 166

First-principles (PBE) data for an optimized crystal structure of Er3ZrSc2, as listed in the Alexandria database.

```
Er3ZrSc2
1.0
-1.372 2.840 1.105
-8.346 -3.430 -1.545
3.363 -4.173 9.842
Sc Er Zr
4 6 2
direct
0.566 0.123 0.131
0.434 0.877 0.869
0.802 0.304 0.603
0.198 0.696 0.397
0.578 0.474 0.155
0.684 0.011 0.369
0.949 0.208 0.898
0.422 0.526 0.845
0.316 0.989 0.631
0.051 0.792 0.102
0.183 0.343 0.366
0.817 0.657 0.634
```

Calculated values
Energy above the lowest structure with this stoichiometry ... 0 meV per atom
Formation energy ... 1.3 kcal/mol of atoms
Space group ... No. 12